(1)
TbIn12Hg6 (PBE-GGA, optimized geometry); magnetization = 0.00 μB/f.u.; formation energy = -0.036 eV per atom
1.0
-7.3015 -3.3454 0.2532
2.3886 -4.8297 5.9612
-2.3468 5.4634 5.4047
Tb In Hg
1 12 6
Direct
0.0000 0.0000 0.0000
0.5420 0.2195 0.4511
0.2195 0.4511 0.5420
0.4511 0.5420 0.2195
0.4580 0.7805 0.5489
0.7805 0.5489 0.4580
0.5489 0.4580 0.7805
0.0175 0.7179 0.7171
0.2829 0.9825 0.2821
0.2821 0.2829 0.9825
0.9825 0.2821 0.2829
0.7171 0.0175 0.7179
0.7179 0.7171 0.0175
0.1474 0.0870 0.6375
0.9130 0.3625 0.8526
0.3625 0.8526 0.9130
0.8526 0.9130 0.3625
0.0870 0.6375 0.1474
0.6375 0.1474 0.0870


(2)
Tb3InHg3 (PBE-GGA, optimized geometry); magnetization = 0.00 μB/f.u.; formation energy = -0.348 eV per atom
1.0
7.1747 -0.0440 0.0041
-0.0276 7.1748 0.0041
0.0070 0.0070 7.4053
Tb In Hg
6 2 6
Direct
0.0645 0.0645 0.7534
0.4488 0.0464 0.2508
0.0464 0.4488 0.2508
0.5512 0.9536 0.7492
0.9536 0.5512 0.7492
0.9355 0.9355 0.2466
0.3479 0.3479 0.9467
0.6521 0.6521 0.0533
0.3349 0.3349 0.5463
0.2420 0.7580 0.5000
0.7580 0.2420 0.5000
0.2421 0.7579 0.0000
0.7579 0.2421 0.0000
0.6651 0.6651 0.4537


(3)
Tb3In4Hg2 (PBE-GGA, optimized geometry); magnetization = 0.00 μB/f.u.; formation energy = -0.387 eV per atom
1.0
4.4426 0.0000 0.0000
0.0000 7.7678 0.0000
0.0000 -3.8839 6.7271
Tb In Hg
3 4 2
Direct
0.5000 0.0000 0.4067
0.5000 0.4067 0.0000
0.5000 0.5933 0.5933
0.5000 0.0000 0.0000
0.0000 0.2599 0.2599
0.0000 0.7401 0.0000
0.0000 0.0000 0.7401
0.0000 0.6667 0.3333
0.0000 0.3333 0.6667


Record-wise polymorph energy (0 for the lowest one) values, in eV per atom: 0.004, 0.012, 0.034